Here is an optimized crystal structure of Na4In3NiO8 from Alexandria. Energies are from PBE with a Hubbard U.

```
Na4In3NiO8
1.0
-2.676 2.713 -5.171
0.326 -5.801 -3.212
-3.029 0.272 5.700
Na In Ni O
4 3 1 8
direct
0.500 0.000 0.000
0.500 0.000 0.500
0.000 0.000 0.000
0.000 0.000 0.500
0.500 0.500 0.000
0.500 0.500 0.500
0.000 0.500 0.500
0.000 0.500 0.000
0.225 0.707 0.980
0.235 0.713 0.470
0.263 0.283 0.525
0.755 0.707 0.980
0.245 0.293 0.020
0.737 0.717 0.475
0.765 0.287 0.530
0.775 0.293 0.020
```

Results
VASP energy	-0.181	hartree per atom
magnetic moment	3.07	μB per formula unit
volume	12.369	A^3/atom